Model 1:
This record from the Alexandria database describes crystalline TaMnBi3 at its relaxed geometry. The functional is PBE-GGA.

Cell lengths 5.472, 5.472, 5.472 Å; angles 90.00, 90.00, 90.00 degrees
Positions (direct):
Ta 0.000 0.000 0.000
Mn 0.500 0.500 0.500
Bi 0.000 0.000 0.500
Bi 0.000 0.500 0.000
Bi 0.500 0.000 0.000

Computed properties:
SG: Pm-3m (221)


Model 2:
This record from the Alexandria database describes crystalline TaMnBi3 at its relaxed geometry. The functional is PBE-GGA.

Cell lengths 5.186, 5.186, 5.186 Å; angles 90.00, 90.00, 90.00 degrees
Positions (direct):
Ta 0.000 0.000 0.000
Mn 0.500 0.500 0.500
Bi 0.000 0.500 0.500
Bi 0.500 0.000 0.500
Bi 0.500 0.500 0.000

Computed properties:
SG: Pm-3m (221)


Most stable pick: model 2. Distance to second place: 343 meV/atom.


Model 1:
This record from the Alexandria database describes crystalline TaMnBi2 at its relaxed geometry. The functional is PBE-GGA.

Cell lengths 6.892, 6.892, 6.892 Å; angles 90.00, 90.00, 90.00 degrees
Positions (direct):
Ta 0.000 0.000 0.000
Ta 0.000 0.500 0.500
Ta 0.500 0.000 0.500
Ta 0.500 0.500 0.000
Mn 0.000 0.000 0.500
Mn 0.000 0.500 0.000
Mn 0.500 0.000 0.000
Mn 0.500 0.500 0.500
Bi 0.250 0.250 0.250
Bi 0.250 0.250 0.750
Bi 0.250 0.750 0.250
Bi 0.250 0.750 0.750
Bi 0.750 0.250 0.250
Bi 0.750 0.250 0.750
Bi 0.750 0.750 0.250
Bi 0.750 0.750 0.750

Computed properties:
SG: Fm-3m (225)


Model 2:
This record from the Alexandria database describes crystalline TaMnBi2 at its relaxed geometry. The functional is PBE-GGA.

Cell lengths 6.567, 6.567, 12.645 Å; angles 90.00, 90.00, 90.00 degrees
Positions (direct):
Ta 0.000 0.000 0.000
Ta 0.000 0.500 0.250
Ta 0.500 0.000 0.750
Ta 0.500 0.500 0.500
Mn 0.000 0.000 0.500
Mn 0.000 0.500 0.750
Mn 0.500 0.000 0.250
Mn 0.500 0.500 0.000
Bi 0.249 0.250 0.125
Bi 0.250 0.749 0.375
Bi 0.250 0.751 0.875
Bi 0.251 0.250 0.625
Bi 0.749 0.750 0.625
Bi 0.750 0.249 0.875
Bi 0.750 0.251 0.375
Bi 0.751 0.750 0.125

Computed properties:
SG: I-42d (122)


Most stable pick: model 1. Distance to second place: 138 meV/atom.


Model 1:
This record from the Alexandria database describes crystalline MnTc2Bi2 at its relaxed geometry. The functional is PBE-GGA.

Cell lengths 5.460, 5.460, 7.213 Å; angles 90.00, 90.00, 90.00 degrees
Positions (direct):
Mn 0.000 0.000 0.000
Mn 0.500 0.500 0.500
Tc 0.000 0.000 0.342
Tc 0.000 0.000 0.658
Tc 0.500 0.500 0.158
Tc 0.500 0.500 0.842
Bi 0.000 0.500 0.250
Bi 0.000 0.500 0.750
Bi 0.500 0.000 0.250
Bi 0.500 0.000 0.750

Computed properties:
SG: I4/mmm (139)


Model 2:
This record from the Alexandria database describes crystalline MnTc2Bi2 at its relaxed geometry. The functional is PBE-GGA.

Cell lengths 6.561, 6.561, 4.486 Å; angles 90.00, 90.00, 90.00 degrees
Positions (direct):
Mn 0.000 0.000 0.000
Mn 0.500 0.500 0.000
Tc 0.135 0.365 0.000
Tc 0.365 0.865 0.000
Tc 0.635 0.135 0.000
Tc 0.865 0.635 0.000
Bi 0.180 0.680 0.500
Bi 0.320 0.180 0.500
Bi 0.680 0.820 0.500
Bi 0.820 0.320 0.500

Computed properties:
SG: P4/mbm (127)


Most stable pick: model 2. Distance to second place: 392 meV/atom.


Model 1:
This record from the Alexandria database describes crystalline MnBiTe3 at its relaxed geometry. The functional is PBE-GGA.

Cell lengths 7.310, 7.310, 7.295 Å; angles 90.00, 90.00, 120.00 degrees
Positions (direct):
Mn 0.333 0.667 0.000
Mn 0.667 0.333 0.000
Bi 0.000 0.000 0.213
Bi 0.000 0.000 0.787
Te 0.000 0.421 0.777
Te 0.000 0.579 0.223
Te 0.421 0.000 0.777
Te 0.421 0.421 0.223
Te 0.579 0.000 0.223
Te 0.579 0.579 0.777

Computed properties:
SG: P-31m (162)


Model 2:
This record from the Alexandria database describes crystalline MnBiTe3 at its relaxed geometry. The functional is PBE-GGA.

Cell lengths 5.087, 5.087, 5.087 Å; angles 90.00, 90.00, 90.00 degrees
Positions (direct):
Mn 0.000 0.000 0.000
Bi 0.500 0.500 0.500
Te 0.000 0.000 0.500
Te 0.000 0.500 0.000
Te 0.500 0.000 0.000

Computed properties:
SG: Pm-3m (221)


Most stable pick: model 1. Distance to second place: 476 meV/atom.